Compound: Pm4YTm3Se8
Source: Alexandria
Functional: PBE
Structure: optimized geometry

## Properties
For the raw formation energy, the calculation gives -1764 meV per atom. As for the space group: R-3m, No. 166. The calculation puts the magnetization at 0.000 μB/atom.

a b c (Å): 8.335 8.335 8.335
angles (deg): 58.43 58.43 58.43
Sites, in units of the cell vectors:
1 Pm 0.000 0.000 0.000
2 Pm 0.000 0.500 0.500
3 Pm 0.500 0.000 0.500
4 Pm 0.500 0.500 0.000
5 Y 0.500 0.500 0.500
6 Tm 0.000 0.000 0.500
7 Tm 0.000 0.500 0.000
8 Tm 0.500 0.000 0.000
9 Se 0.241 0.746 0.746
10 Se 0.244 0.244 0.244
11 Se 0.254 0.254 0.759
12 Se 0.254 0.759 0.254
13 Se 0.746 0.241 0.746
14 Se 0.746 0.746 0.241
15 Se 0.756 0.756 0.756
16 Se 0.759 0.254 0.254